! TaIr2Ru4W | Alexandria via LeMat-Bulk | PBE | optimized geometry; values from VASP
! raw total energy: -8.83 eV/atom
! calculated density: 11.0 Mg/m³
&SYSTEM
  ibrav = 0, nat = 8, ntyp = 4
/
ATOMIC_SPECIES
Ir 192.22 Ir.upf
Ru 101.07 Ru.upf
W 183.84 W.upf
Ta 180.95 Ta.upf
CELL_PARAMETERS angstrom
-1.870 1.194 6.149
5.991 -1.699 -1.988
1.074 4.440 -4.676
ATOMIC_POSITIONS crystal
Ir 0.500 0.250 0.750
Ru 0.485 0.377 0.377
W 0.000 0.000 0.000
Ta 0.000 0.500 0.500
Ru 0.000 0.108 0.623
Ru 0.515 0.892 0.892
Ru 0.000 0.623 0.108
Ir 0.500 0.750 0.250